The following is a GGA-PBE calculation of a relaxed Re2MoRu5 crystal, from the Alexandria database.

```
Re2MoRu5
1.0
-5.182 -0.911 -1.555
4.114 -1.403 -3.348
0.680 -2.814 4.294
Ru Re Mo
5 2 1
Cartesian
0.391 -2.069 0.717
2.084 -4.138 1.330
-2.566 -3.896 2.219
-0.143 -3.226 -1.734
-0.674 -0.623 -1.290
-2.173 -2.497 -0.078
2.477 -2.799 -0.949
-1.189 -1.781 -3.745
```

Results
As for the space group: Fmm2, No. 42. For the formation enthalpy at 0 K, the calculation gives -74 meV per atom.

The following is a GGA-PBE calculation of a relaxed CsAcCeI6 crystal, from the Alexandria database.

```
CsAcCeI6
1.0
-6.646 -7.116 6.681
7.652 -7.977 -0.884
3.258 10.403 3.885
I Cs Ce Ac
12 2 2 2
Cartesian
-0.577 -4.920 4.622
8.385 -0.509 3.166
7.072 -4.970 1.742
5.435 -3.669 6.132
-4.122 -4.181 6.516
-2.808 0.280 7.940
0.196 -8.681 6.018
4.068 3.991 3.665
3.147 -5.522 3.052
-1.171 -1.021 3.550
1.117 0.832 6.631
4.841 0.230 5.061
3.021 -1.153 1.778
1.243 -3.537 7.904
-1.694 1.643 5.283
1.629 5.201 1.943
-3.323 -3.558 3.340
0.503 -7.546 2.899
```

Results
The formation energy without anion corrections comes out at -1.3184 eV/atom. As for the space group: Imma, No. 74.

Number 1: total DFT energy (no corrections) -82.70 eV/cell. Number 2: total DFT energy (no corrections) -64.13 eV/cell.